Model one:
The following is a PBE-GGA calculation of a relaxed PmNdDyHo crystal, from Alexandria via LeMat-Bulk.

Properties
Density of states at the Fermi level   32.09 states/eV/cell

Cell lengths 8.101, 8.101, 8.101 Å; angles 90.00, 90.00, 90.00 degrees
Space group F-43m (No. 216)
Symmetry-distinct sites (fractional):
Pm (0.000, 0.000, 0.000) [4 per cell]
Nd (0.000, 0.000, 0.500) [4 per cell]
Dy (0.250, 0.250, 0.750) [4 per cell]
Ho (0.250, 0.250, 0.250) [4 per cell]



Model two:
The following is a PBE-GGA calculation of a relaxed PmNdDyHo crystal, from Alexandria via LeMat-Bulk.

Properties
Density of states at the Fermi level   6.32 states/eV/cell

Cell lengths 5.051, 5.106, 5.107 Å; angles 90.00, 90.00, 90.00 degrees
Space group Pmmm (No. 47)
Symmetry-distinct sites (fractional):
Pm (0.000, 0.000, 0.000) [1 per cell]
Nd (0.000, 0.500, 0.500) [1 per cell]
Dy (0.500, 0.500, 0.000) [1 per cell]
Ho (0.500, 0.000, 0.500) [1 per cell]



The most stable arrangement is model two, and the next structure is 99 meV/atom less stable.



Model one:
The following is a PBE-GGA calculation of a relaxed NdDyHoSc crystal, from Alexandria via LeMat-Bulk.

Properties
Density of states at the Fermi level   24.89 states/eV/cell

Cell lengths 7.881, 7.881, 7.881 Å; angles 90.00, 90.00, 90.00 degrees
Space group F-43m (No. 216)
Symmetry-distinct sites (fractional):
Nd (0.000, 0.000, 0.000) [4 per cell]
Dy (0.000, 0.000, 0.500) [4 per cell]
Ho (0.250, 0.250, 0.250) [4 per cell]
Sc (0.250, 0.250, 0.750) [4 per cell]



Model two:
The following is a PBE-GGA calculation of a relaxed NdDyHoSc crystal, from Alexandria via LeMat-Bulk.

Properties
Density of states at the Fermi level   13.60 states/eV/cell

Cell lengths 12.127, 5.643, 3.776 Å; angles 90.00, 108.12, 90.00 degrees
Space group Cm (No. 8)
Symmetry-distinct sites (fractional):
Nd (0.000, 0.000, 0.000) [2 per cell]
Dy (0.230, 0.500, 0.223) [2 per cell]
Ho (0.268, 0.000, 0.761) [2 per cell]
Sc (0.499, 0.000, 0.494) [2 per cell]



The most stable arrangement is model two, and the next structure is 18 meV/atom less stable.



Model one:
The following is a PBE-GGA calculation of a relaxed DyHo3Ni crystal, from Alexandria via LeMat-Bulk.

Properties
Density of states at the Fermi level   9.40 states/eV/cell

Cell lengths 5.279, 5.279, 5.279 Å; angles 90.00, 90.00, 90.00 degrees
Space group Pm-3m (No. 221)
Symmetry-distinct sites (fractional):
Dy (0.000, 0.000, 0.000) [1 per cell]
Ho (0.000, 0.500, 0.500) [3 per cell]
Ni (0.500, 0.500, 0.500) [1 per cell]



Model two:
The following is a PBE-GGA calculation of a relaxed DyHo3Ni crystal, from Alexandria via LeMat-Bulk.

Properties
Density of states at the Fermi level   25.95 states/eV/cell

Cell lengths 12.286, 3.629, 12.753 Å; angles 90.00, 109.15, 90.00 degrees
Space group Cm (No. 8)
Symmetry-distinct sites (fractional):
Dy (0.000, 0.000, 0.000) [2 per cell]
Dy (0.130, 0.000, 0.283) [2 per cell]
Ho (0.013, 0.000, 0.704) [2 per cell]
Ho (0.151, 0.500, 0.532) [2 per cell]
Ho (0.205, 0.500, 0.938) [2 per cell]
Ho (0.309, 0.000, 0.766) [2 per cell]
Ho (0.362, 0.000, 0.173) [2 per cell]
Ho (0.384, 0.500, 0.422) [2 per cell]
Ni (0.169, 0.500, 0.140) [2 per cell]
Ni (0.344, 0.000, 0.564) [2 per cell]



The most stable arrangement is model two, and the next structure is 134 meV/atom less stable.



Model one:
The following is a PBE-GGA calculation of a relaxed DyHoNiRu crystal, from Alexandria via LeMat-Bulk.

Properties
Density of states at the Fermi level   1.96 states/eV/cell

Cell lengths 3.392, 3.392, 6.741 Å; angles 90.00, 90.00, 90.00 degrees
Space group P4mm (No. 99)
Symmetry-distinct sites (fractional):
Dy (0.000, 0.000, 0.000) [1 per cell]
Ho (0.000, 0.000, 0.497) [1 per cell]
Ni (0.500, 0.500, 0.747) [1 per cell]
Ru (0.500, 0.500, 0.250) [1 per cell]



Model two:
The following is a PBE-GGA calculation of a relaxed DyHoNiRu crystal, from Alexandria via LeMat-Bulk.

Properties
Density of states at the Fermi level   10.28 states/eV/cell

Cell lengths 6.765, 6.765, 6.765 Å; angles 90.00, 90.00, 90.00 degrees
Space group F-43m (No. 216)
Symmetry-distinct sites (fractional):
Dy (0.000, 0.000, 0.000) [4 per cell]
Ho (0.000, 0.000, 0.500) [4 per cell]
Ni (0.250, 0.250, 0.250) [4 per cell]
Ru (0.250, 0.250, 0.750) [4 per cell]



The most stable arrangement is model one, and the next structure is 18 meV/atom less stable.



Model one:
The following is a PBE-GGA calculation of a relaxed Dy2HoOs crystal, from Alexandria via LeMat-Bulk.

Properties
Density of states at the Fermi level   12.25 states/eV/cell

Cell lengths 3.989, 11.810, 8.979 Å; angles 90.00, 90.00, 90.00 degrees
Space group Cmcm (No. 63)
Symmetry-distinct sites (fractional):
Dy (0.000, 0.144, 0.066) [8 per cell]
Ho (0.000, 0.425, 0.250) [4 per cell]
Os (0.000, 0.241, 0.750) [4 per cell]



Model two:
The following is a PBE-GGA calculation of a relaxed Dy2HoOs crystal, from Alexandria via LeMat-Bulk.

Properties
Density of states at the Fermi level   19.22 states/eV/cell

Cell lengths 3.4349, 3.4349, 32.4813 Å; angles 90.00, 90.00, 120.00 degrees
Space group R-3m (No. 166, hexagonal axes)
Symmetry-distinct sites (fractional):
Dy (0.0000, 0.0000, 0.1051) [6 per cell]
Ho (0.0000, 0.0000, 0.0000) [3 per cell]
Os (0.0000, 0.0000, 0.5000) [3 per cell]



The most stable arrangement is model one, and the next structure is 522 meV/atom less stable.



Model one:
The following is a PBE-GGA calculation of a relaxed Dy2HoOs crystal, from Alexandria via LeMat-Bulk.

Properties
Density of states at the Fermi level   3.78 states/eV/cell

Cell lengths 3.390, 3.390, 9.251 Å; angles 90.00, 90.00, 90.00 degrees
Space group P4/mmm (No. 123)
Symmetry-distinct sites (fractional):
Dy (0.000, 0.000, 0.180) [2 per cell]
Ho (0.500, 0.500, 0.500) [1 per cell]
Os (0.500, 0.500, 0.000) [1 per cell]



Model two:
The following is a PBE-GGA calculation of a relaxed Dy2HoOs crystal, from Alexandria via LeMat-Bulk.

Properties
Density of states at the Fermi level   11.37 states/eV/cell

Cell lengths 7.383, 9.058, 6.317 Å; angles 90.00, 90.00, 90.00 degrees
Space group Pnma (No. 62)
Symmetry-distinct sites (fractional):
Dy (0.175, 0.063, 0.168) [8 per cell]
Ho (0.040, 0.250, 0.630) [4 per cell]
Os (0.117, 0.750, 0.962) [4 per cell]



The most stable arrangement is model two, and the next structure is 167 meV/atom less stable.